1.
PbW2Br (PBE, relaxed); space group = C2/m, No. 12; DFT total energy = -27.82 eV per cell; density of states at the Fermi level = 2.75 states/eV per cell; offset from the most stable computed form = 509.5 meV per atom; crystal system = monoclinic; formation energy (no corrections) = 0.866 eV per atom; calculated density = 9.9 g/cm³
1.0
-1.432 2.978 5.800
-4.371 2.467 4.402
-2.979 -2.091 7.024
Br W Pb
1 2 1
direct
0.750 0.750 0.750
0.459 0.459 0.695
0.041 0.041 0.805
0.250 0.250 0.250

2.
InC3 (PBE, relaxed); space group = Immm, No. 71; DFT total energy = -22.09 eV per cell; density of states at the Fermi level = 1.75 states/eV per cell; offset from the most stable computed form = 1179.4 meV per atom; crystal system = orthorhombic; formation energy = 2.08 eV/atom; calculated density = 4.1 g/cm³
1.0
5.066 -0.473 0.238
0.108 5.087 -0.238
-0.764 -4.351 2.535
C In
3 1
direct
0.870 0.870 0.000
0.000 0.500 0.500
0.130 0.130 0.000
0.500 0.000 0.500

3.
CsScMnSe4 (PBE, relaxed); space group = P2_1/m, No. 11; DFT total energy = -74.37 eV per cell; density of states at the Fermi level = 5.90 states/eV per cell; crystal system = monoclinic; formation energy (no corrections) = -0.985 eV per atom; calculated density = 4.4 g/cm³
1.0
6.540 0.000 -0.281
0.000 6.802 0.000
-2.940 0.000 9.397
Se Sc Mn Cs
8 2 2 2
direct
0.021 0.506 0.684
0.459 0.750 0.574
0.021 0.994 0.684
0.437 0.750 0.195
0.541 0.250 0.426
0.563 0.250 0.805
0.979 0.006 0.316
0.979 0.494 0.316
0.773 0.750 0.451
0.227 0.250 0.549
0.227 0.750 0.343
0.773 0.250 0.657
0.248 0.250 0.055
0.752 0.750 0.945

4.
Pr2TlAg3 (PBE, relaxed); space group = Imm2, No. 44; DFT total energy = -21.54 eV per cell; density of states at the Fermi level = 4.61 states/eV per cell; offset from the most stable computed form = 91.6 meV per atom; crystal system = orthorhombic; formation energy = -0.18 eV/atom; calculated density = 8.3 g/cm³
1.0
4.040 0.000 -1.075
-0.304 4.015 -1.141
0.413 0.600 9.678
Ag Pr Tl
3 2 1
direct
0.702 0.702 0.404
0.295 0.795 0.590
0.554 0.554 0.108
0.862 0.362 0.724
0.132 0.132 0.264
0.455 0.955 0.910

5.
NaFeGe2Se (PBE, relaxed); space group = P4/mmm, No. 123; DFT total energy = -22.49 eV per cell; density of states at the Fermi level = 3.34 states/eV per cell; crystal system = tetragonal; formation energy (no corrections) = 0.002 eV per atom; calculated density = 4.6 g/cm³
1.0
4.482 0.000 0.000
0.000 5.477 0.000
0.000 0.000 4.482
Ge Se Fe Na
2 1 1 1
direct
0.500 0.000 0.000
0.000 0.000 0.500
0.000 0.500 0.000
0.000 0.000 0.000
0.500 0.500 0.500

6.
ScNbTc2 (PBE, relaxed); space group = P4/mmm, No. 123; DFT total energy = -38.19 eV per cell; density of states at the Fermi level = 3.68 states/eV per cell; offset from the most stable computed form = 0.0 meV per atom; crystal system = tetragonal; formation energy = -0.27 eV/atom; calculated density = 8.3 g/cm³
1.0
3.210 0.000 0.000
0.000 3.210 0.000
0.000 0.000 6.480
Tc Nb Sc
2 1 1
direct
0.000 0.000 0.764
0.000 0.000 0.236
0.500 0.500 0.000
0.500 0.500 0.500

7.
Dy2Y6Ho3Th (PBE, relaxed); space group = C2/m, No. 12; DFT total energy = -68.81 eV per cell; density of states at the Fermi level = 16.90 states/eV per cell; crystal system = monoclinic; formation energy = 0.03 eV/atom; calculated density = 6.9 g/cm³
1.0
6.165 0.001 0.017
-3.080 5.340 0.017
-1.059 -1.833 11.599
Y Ho Th Dy
6 3 1 2
direct
0.084 0.414 0.250
0.246 0.246 0.750
0.754 0.754 0.250
0.414 0.084 0.250
0.586 0.916 0.750
0.916 0.586 0.750
0.833 0.167 0.500
0.167 0.833 0.500
0.500 0.500 0.500
0.000 0.000 0.000
0.667 0.333 0.000
0.333 0.667 0.000

8.
CoSeI3 (PBE, relaxed); space group = Pm-3m, No. 221; DFT total energy = -10.93 eV per cell; density of states at the Fermi level = 25.17 states/eV per cell; offset from the most stable computed form = 352.4 meV per atom; crystal system = cubic; formation energy (no corrections) = 0.861 eV per atom; calculated density = 4.5 g/cm³
1.0
-0.187 -3.425 -4.605
4.146 -3.267 2.261
-3.969 -3.251 2.579
I Co Se
3 1 1
direct
0.500 0.000 0.000
0.000 0.000 0.500
0.000 0.500 0.000
0.500 0.500 0.500
0.000 0.000 0.000

9.
Nd2DyTm (PBE, relaxed); space group = P4/mmm, No. 123; DFT total energy = -18.53 eV per cell; density of states at the Fermi level = 6.19 states/eV per cell; offset from the most stable computed form = 5.8 meV per atom; crystal system = tetragonal; formation energy = 0.02 eV/atom; calculated density = 7.8 g/cm³
1.0
5.029 0.000 0.000
0.000 5.113 0.000
0.000 0.000 5.113
Tm Nd Dy
1 2 1
direct
0.500 0.000 0.000
0.000 0.000 0.500
0.000 0.500 0.000
0.500 0.500 0.500

10.
Sr2AcSn2 (PBE, relaxed); space group = Pmmn, No. 59; DFT total energy = -36.63 eV per cell; density of states at the Fermi level = 4.58 states/eV per cell; crystal system = orthorhombic; formation energy = -0.57 eV/atom; calculated density = 5.4 g/cm³
1.0
-3.255 -4.348 -1.115
1.583 -2.444 4.910
-11.071 8.048 0.936
Sn Sr Ac
4 4 2
direct
0.750 0.743 0.993
0.750 0.091 0.341
0.250 0.257 0.007
0.250 0.909 0.659
0.250 0.574 0.824
0.750 0.426 0.176
0.250 0.252 0.502
0.750 0.748 0.498
0.250 0.912 0.162
0.750 0.088 0.838

11.
TaVTcPt2 (PBE, relaxed); space group = P4/mmm, No. 123; DFT total energy = -37.18 eV per cell; density of states at the Fermi level = 11.83 states/eV per cell; crystal system = tetragonal; formation energy = 1.25 eV/atom; calculated density = 12.1 g/cm³
1.0
-0.863 1.690 4.425
-2.393 -3.429 0.843
3.891 -2.312 1.642
Tc Pt V Ta
1 2 1 1
direct
0.000 0.000 0.000
0.500 0.000 0.000
0.000 0.000 0.500
0.000 0.500 0.000
0.500 0.500 0.500

12.
PmPuS (PBE, relaxed); space group = R-3m, No. 166; DFT total energy = -52.33 eV per cell; density of states at the Fermi level = 9.95 states/eV per cell; crystal system = trigonal; formation energy (no corrections) = -0.984 eV per atom; calculated density = 10.6 g/cm³
1.0
-0.919 -3.357 -0.737
2.092 -2.685 1.036
-5.616 -2.664 10.547
Pm S Pu
2 2 2
direct
0.953 0.953 0.142
0.047 0.047 0.858
0.433 0.433 0.700
0.567 0.567 0.300
0.185 0.185 0.446
0.815 0.815 0.554

13.
Ce3AsI3 (PBE, relaxed); space group = P2_1/m, No. 11; DFT total energy = -71.45 eV per cell; density of states at the Fermi level = 39.71 states/eV per cell; crystal system = monoclinic; formation energy (no corrections) = -1.232 eV per atom; calculated density = 6.1 g/cm³
1.0
-2.387 3.270 1.429
-7.072 -5.500 0.772
3.234 -2.744 11.678
As Ce I
2 6 6
direct
0.250 0.877 0.382
0.750 0.123 0.618
0.750 0.656 0.383
0.250 0.899 0.617
0.750 0.101 0.383
0.250 0.880 0.149
0.250 0.344 0.617
0.750 0.120 0.851
0.250 0.381 0.874
0.750 0.619 0.126
0.750 0.147 0.119
0.250 0.853 0.881
0.750 0.622 0.644
0.250 0.378 0.356

14.
Nd3YCo2 (PBE, relaxed); space group = C2/m, No. 12; DFT total energy = -70.89 eV per cell; density of states at the Fermi level = 16.21 states/eV per cell; crystal system = monoclinic; formation energy = -0.08 eV/atom; calculated density = 6.7 g/cm³
1.0
3.736 0.000 0.753
1.576 8.342 1.825
-0.105 -0.071 10.169
Nd Co Y
6 4 2
direct
0.584 0.771 0.061
0.840 0.070 0.250
0.416 0.229 0.939
0.583 0.281 0.553
0.160 0.930 0.750
0.417 0.719 0.447
0.232 0.578 0.957
0.765 0.922 0.548
0.768 0.422 0.043
0.235 0.078 0.452
0.162 0.429 0.247
0.838 0.571 0.753

15.
Ac2PmNdTm (PBE, relaxed); space group = Pmma, No. 51; DFT total energy = -41.94 eV per cell; density of states at the Fermi level = 13.18 states/eV per cell; crystal system = orthorhombic; formation energy = 0.25 eV/atom; calculated density = 7.7 g/cm³
1.0
-3.761 3.948 -4.111
-3.202 -7.218 -4.002
-4.870 -0.203 4.261
Tm Nd Ac Pm
2 2 4 2
direct
0.000 0.000 0.000
0.000 0.000 0.500
0.587 0.000 0.250
0.413 0.000 0.750
0.288 0.293 0.250
0.712 0.707 0.750
0.288 0.707 0.250
0.712 0.293 0.750
0.816 0.500 0.250
0.184 0.500 0.750

16.
KBaSe2 (PBE, relaxed); space group = Cm, No. 8; DFT total energy = -15.08 eV per cell; density of states at the Fermi level = 1.56 states/eV per cell; crystal system = monoclinic; formation energy (no corrections) = -1.273 eV per atom; calculated density = 4.1 g/cm³
1.0
-6.362 0.789 0.466
-4.616 0.031 4.472
1.159 4.974 0.437
Se Ba K
2 1 1
direct
0.019 0.019 0.906
0.223 0.223 0.340
0.507 0.507 0.383
0.751 0.751 0.870

17.
SrMg3Au (PBE, relaxed); space group = Pm-3m, No. 221; DFT total energy = -4.39 eV per cell; density of states at the Fermi level = 1.98 states/eV per cell; offset from the most stable computed form = 1410.7 meV per atom; crystal system = cubic; formation energy = 1.07 eV/atom; calculated density = 2.0 g/cm³
1.0
6.646 0.000 0.000
0.000 6.646 0.000
0.000 0.000 6.646
Mg Sr Au
3 1 1
direct
0.500 0.000 0.000
0.000 0.500 0.000
0.000 0.000 0.500
0.000 0.000 0.000
0.500 0.500 0.500

18.
TbPm4Sm3Se8 (PBE, relaxed); space group = R-3m, No. 166; DFT total energy = -94.71 eV per cell; density of states at the Fermi level = 11.09 states/eV per cell; crystal system = trigonal; formation energy (no corrections) = -1.815 eV per atom; calculated density = 7.3 g/cm³
1.0
-3.894 3.656 -6.413
-6.794 -4.644 1.477
3.266 4.660 6.105
Sm Pm Se Tb
3 4 8 1
direct
0.500 0.500 0.500
0.500 0.500 0.000
0.000 0.500 0.500
0.000 0.000 0.500
0.500 0.000 0.000
0.500 0.000 0.500
0.000 0.000 0.000
0.753 0.255 0.002
0.749 0.748 0.498
0.247 0.745 0.493
0.753 0.255 0.507
0.248 0.255 0.002
0.247 0.745 0.998
0.752 0.745 0.998
0.251 0.252 0.502
0.000 0.500 0.000

19.
SmHoErIn (PBE, relaxed); space group = F-43m, No. 216; DFT total energy = -17.11 eV per cell; density of states at the Fermi level = 6.32 states/eV per cell; offset from the most stable computed form = 0.0 meV per atom; crystal system = cubic; formation energy = -0.13 eV/atom; calculated density = 8.6 g/cm³
1.0
-0.412 -3.135 -4.451
4.445 -2.408 -2.064
0.611 -5.411 0.406
In Sm Ho Er
1 1 1 1
direct
0.250 0.250 0.250
0.500 0.500 0.500
0.750 0.750 0.750
0.000 0.000 0.000

20.
Nb2NiBr (PBE, relaxed); space group = Fm-3m, No. 225; DFT total energy = -26.09 eV per cell; density of states at the Fermi level = 6.52 states/eV per cell; offset from the most stable computed form = 0.0 meV per atom; crystal system = cubic; formation energy (no corrections) = 0.377 eV per atom; calculated density = 8.3 g/cm³
1.0
0.000 3.187 3.187
3.187 0.000 3.187
3.187 3.187 0.000
Nb Ni Br
2 1 1
direct
0.250 0.250 0.250
0.750 0.750 0.750
0.000 0.000 0.000
0.500 0.500 0.500